# 1
OsPt2 after structural relaxation, computed with GGA-PBE.

As for the offset from the most stable computed form: 789 meV per atom.

The space group is Pa-3 (No. 205) and the conventional cell measures 6.074, 6.074 and 6.074 Å, with angles of 90.00, 90.00 and 90.00 degrees. Symmetry generates all atoms from Os at (0.000, 0.000, 0.000) and Pt at (0.121, 0.621, 0.879).



# 2
Os2Pt after structural relaxation, computed with GGA-PBE.

As for the offset from the most stable computed form: 58 meV per atom.

The space group is Immm (No. 71) and the conventional cell measures 2.755, 3.845 and 8.359 Å, with angles of 90.00, 90.00 and 90.00 degrees. Symmetry generates all atoms from Os at (0.000, 0.000, 0.177) and Pt at (0.000, 0.000, 0.500).



# 3
OsPt after structural relaxation, computed with GGA-PBE.

The calculation puts the electronic total energy at -8.466 eV per atom.

The space group is Amm2 (No. 38) and the conventional cell measures 4.491, 8.292 and 4.813 Å, with angles of 90.00, 90.00 and 90.00 degrees. Symmetry generates all atoms from Os at (0.000, 0.000, 0.000), Os at (0.500, 0.162, 0.837), Pt at (0.000, 0.169, 0.506) and Pt at (0.500, 0.000, 0.323).



| no. | N(E_F) (states/eV/f.u.) |
| --- | --- |
| 1 | 3.63 |
| 2 | 1.89 |
| 3 | 2.22 |